Record 1
A plane-wave DFT calculation with PBE was carried out for an optimized crystal structure of Tb3ScSb3.

Cell: 8.8350 8.8350 18.3778 Å, 90.00 90.00 120.00°
Space group R-3 (No. 148, hexagonal axes)
Inequivalent atoms, fractional coordinates:
Tb1 0.0043 0.2619 0.0850 (multiplicity 18)
Sc1 0.0000 0.0000 0.3331 (multiplicity 6)
Sb1 0.0054 0.3947 0.9204 (multiplicity 18)

Magnetic moment: 0.0 μB/cell
Volume: 29.58 Å³/atom
Formation energy without anion corrections: -0.88 eV/atom
Raw total energy: -232.7 eV per cell

***

Record 2
A plane-wave DFT calculation with PBE was carried out for an optimized crystal structure of Tb4ScSb5.

Cell: 9.7416 9.7416 6.1785 Å, 90.00 90.00 90.00°
Space group I4/m (No. 87)
Inequivalent atoms, fractional coordinates:
Tb1 0.0964 0.6990 0.0000 (multiplicity 8)
Sc1 0.0000 0.0000 0.5000 (multiplicity 2)
Sb1 0.0000 0.0000 0.0000 (multiplicity 2)
Sb2 0.0984 0.7085 0.5000 (multiplicity 8)

Magnetic moment: 0.0 μB/cell
Volume: 29.32 Å³/atom
Formation energy without anion corrections: -1.09 eV/atom
Raw total energy: -112.8 eV per cell

***

Record 3
A plane-wave DFT calculation with PBE was carried out for an optimized crystal structure of TbScSb.

Cell: 3.8603 3.8603 10.4041 Å, 90.00 90.00 90.00°
Space group I4mm (No. 107)
Inequivalent atoms, fractional coordinates:
Tb1 0.0000 0.0000 0.0000 (multiplicity 2)
Sc1 0.0000 0.0000 0.6907 (multiplicity 2)
Sb1 0.0000 0.0000 0.3255 (multiplicity 2)

Magnetic moment: 2.1 μB/cell
Volume: 25.84 Å³/atom
Formation energy without anion corrections: -0.60 eV/atom
Raw total energy: -33.8 eV per cell